[1]
A geometry-optimized Tb14PuZr structure, computed with PBE.

abc: 7.054 7.054 9.928
angles: 90.00 90.00 90.00
Positions (direct):
Tb  0.000  0.000  0.000
Tb  0.000  0.500  0.000
Tb  0.000  0.500  0.500
Tb  0.247  0.247  0.257
Tb  0.247  0.247  0.743
Tb  0.247  0.753  0.257
Tb  0.247  0.753  0.743
Tb  0.500  0.000  0.000
Tb  0.500  0.000  0.500
Tb  0.500  0.500  0.000
Tb  0.753  0.247  0.257
Tb  0.753  0.247  0.743
Tb  0.753  0.753  0.257
Tb  0.753  0.753  0.743
Pu  0.500  0.500  0.500
Zr  0.000  0.000  0.500

Summary:
The calculation puts the formation energy at 0.0557 eV per atom.


[2]
A geometry-optimized KCaTc3 structure, computed with PBE.

abc: 5.220 5.220 5.220
angles: 90.00 90.00 90.00
Positions (direct):
K  0.000  0.000  0.000
Ca  0.500  0.500  0.500
Tc  0.000  0.500  0.500
Tc  0.500  0.000  0.500
Tc  0.500  0.500  0.000

Summary:
The calculation puts the formation energy at 2.5189 eV per atom. Its energy above the lowest structure with this stoichiometry is 0.000 eV per atom.


[3]
A geometry-optimized Tl2Ga2Sn structure, computed with PBE.

abc: 7.297 7.297 4.996
angles: 90.00 90.00 90.00
Positions (direct):
Tl  0.179  0.321  0.000
Tl  0.321  0.821  0.000
Tl  0.679  0.179  0.000
Tl  0.821  0.679  0.000
Ga  0.128  0.628  0.500
Ga  0.372  0.128  0.500
Ga  0.628  0.872  0.500
Ga  0.872  0.372  0.500
Sn  0.000  0.000  0.500
Sn  0.500  0.500  0.500

Summary:
The calculation puts the formation energy at 0.0531 eV per atom. Its energy above the lowest structure with this stoichiometry is 0.000 eV per atom.


[4]
A geometry-optimized Tl2SbCl structure, computed with PBE.

abc: 5.067 6.209 4.028
angles: 90.00 90.00 90.00
Positions (direct):
Tl  0.000  0.000  0.000
Tl  0.500  0.500  0.498
Sb  0.000  0.500  0.999
Cl  0.500  0.000  0.501

Summary:
Its energy above the lowest structure with this stoichiometry is 0.000 eV per atom. As for the formation energy from raw total energies: -0.35 eV/atom.


Calculated density (g/cm³), listed in the same order as above: 8.60 4.36 8.33 7.42